Entry 1:
The following is a PBE calculation of PmErTh4 after structural relaxation, from Alexandria via LeMat-Bulk.

## Properties
ΔE_f = 0.041 eV/atom
N(E_F) = 7.04 states/eV per cell
electronic total energy = -6.458 eV per atom

```
PmErTh4
1.0
-1.622 0.239 -3.188
-2.386 -2.470 1.029
-8.971 10.906 5.382
Pm Er Th
1 1 4
Cartesian
0.000 0.000 0.000
-6.489 4.337 1.612
-9.425 7.907 3.373
-3.553 0.768 -0.150
-5.971 7.260 3.583
-3.000 3.647 1.800
```

***

Entry 2:
The following is a PBE calculation of BI2N2 after structural relaxation, from Alexandria via LeMat-Bulk.

## Properties
N(E_F) = 2.53 states/eV per cell
electronic total energy = -2.918 eV per atom

```
BI2N2
1.0
3.981 0.000 0.000
0.000 3.981 0.000
0.000 0.000 8.377
I N B
2 2 1
Cartesian
0.000 0.000 0.000
0.000 0.000 4.189
1.990 0.000 0.000
0.000 1.990 0.000
1.990 1.990 4.189
```

***

Entry 3:
The following is a PBE calculation of Bi3Pd2Pt after structural relaxation, from Alexandria via LeMat-Bulk.

## Properties
ΔE_f = -0.168 eV/atom
N(E_F) = 6.15 states/eV per cell
electronic total energy = -4.846 eV per atom

```
Bi3Pd2Pt
1.0
3.789 0.000 0.000
0.000 7.750 0.327
0.000 -2.823 9.707
Pd Bi Pt
4 6 2
Cartesian
0.947 5.640 5.972
2.842 4.381 1.085
0.947 0.545 8.949
2.842 -0.714 4.062
0.947 2.523 1.938
0.947 -2.181 8.347
2.842 7.107 1.687
0.947 0.906 5.278
2.842 2.403 8.096
2.842 4.020 4.756
0.947 5.274 3.004
2.842 -0.348 7.030
```

***

Entry 4:
The following is a PBE calculation of GdPb3 after structural relaxation, from Alexandria via LeMat-Bulk.

## Properties
ΔE_f = -0.283 eV/atom
N(E_F) = 3.24 states/eV per cell
electronic total energy = -6.584 eV per atom

```
GdPb3
1.0
4.682 0.000 0.000
0.000 4.682 0.000
-2.341 -2.341 5.368
Pb Gd
3 1
Cartesian
2.341 2.341 0.000
2.341 0.000 2.684
0.000 2.341 2.684
0.000 0.000 0.000
```